First-principles (GGA-PBE) data for SnHg3Pd6 after structural relaxation, as listed in Alexandria.

**Total moment**: 0.00 μB/f.u.
**Raw total energy**: -37.32 eV/f.u.
**DFT formation energy**: -0.1252 eV/atom

abc: 5.383 8.525 8.525
angles: 106.99 90.00 90.00
Fractional positions:
Sn 0.102 0.175 0.825
Sn 0.602 0.825 0.175
Hg 0.537 0.860 0.712
Hg 0.037 0.712 0.860
Hg 0.116 0.406 0.594
Hg 0.616 0.594 0.406
Hg 0.037 0.140 0.288
Hg 0.537 0.288 0.140
Pd 0.098 0.728 0.540
Pd 0.598 0.540 0.728
Pd 0.286 0.477 0.967
Pd 0.786 0.967 0.477
Pd 0.311 0.985 0.015
Pd 0.614 0.220 0.780
Pd 0.114 0.780 0.220
Pd 0.811 0.015 0.985
Pd 0.286 0.033 0.523
Pd 0.786 0.523 0.033
Pd 0.098 0.460 0.272
Pd 0.598 0.272 0.460